Here is crystalline ThSi2Se6 at its relaxed geometry from Alexandria via LeMat-Bulk. Energies are from GGA-PBE.

a = 6.732 Å, b = 9.003 Å, c = 9.003 Å
α = 85.47°, β = 79.67°, γ = 79.67°
Positions (direct):
Th1 0.750 0.870 0.130
Th2 0.250 0.130 0.870
Se1 0.333 0.041 0.194
Se2 0.066 0.438 0.288
Se3 0.934 0.562 0.712
Se4 0.434 0.712 0.562
Se5 0.611 0.591 0.132
Se6 0.889 0.868 0.409
Se7 0.566 0.288 0.438
Se8 0.833 0.194 0.041
Se9 0.667 0.959 0.806
Se10 0.389 0.409 0.868
Se11 0.167 0.806 0.959
Se12 0.111 0.132 0.591
Si1 0.776 0.372 0.227
Si2 0.224 0.628 0.773
Si3 0.724 0.773 0.628
Si4 0.276 0.227 0.372

Computed properties:
Uncorrected formation energy in eV per atom: -0.74
M_tot in μB per formula unit: 0.00
Electronic total energy in eV/atom: -5.09

---

Here is crystalline ThSi2Se8 at its relaxed geometry from Alexandria via LeMat-Bulk. Energies are from GGA-PBE.

a = 7.259 Å, b = 9.789 Å, c = 9.789 Å
α = 45.84°, β = 68.73°, γ = 68.73°
Positions (direct):
Se1 0.892 0.147 0.653
Se2 0.108 0.347 0.853
Se3 0.892 0.653 0.147
Se4 0.566 0.103 0.103
Se5 0.434 0.897 0.897
Se6 0.313 0.242 0.242
Se7 0.687 0.758 0.758
Se8 0.108 0.853 0.347
Si1 0.781 0.865 0.865
Si2 0.219 0.135 0.135
Th1 0.000 0.000 0.000

Computed properties:
Uncorrected formation energy in eV per atom: -0.44
M_tot in μB per formula unit: 0.00
Electronic total energy in eV/atom: -4.64

---

Here is crystalline Th4Si3Se at its relaxed geometry from Alexandria via LeMat-Bulk. Energies are from GGA-PBE.

a = 3.333 Å, b = 8.271 Å, c = 8.271 Å
α = 81.05°, β = 66.73°, γ = 66.73°
Positions (direct):
Si1 0.500 0.000 0.500
Si2 0.000 0.500 0.500
Si3 0.000 0.000 0.000
Th1 0.497 0.247 0.747
Th2 0.503 0.753 0.253
Th3 0.000 0.247 0.253
Th4 0.000 0.754 0.747
Se1 0.500 0.500 0.000

Computed properties:
Uncorrected formation energy in eV per atom: -0.71
M_tot in μB per formula unit: 0.00
Electronic total energy in eV/atom: -6.88

---

Here is crystalline ThSiSe4 at its relaxed geometry from Alexandria via LeMat-Bulk. Energies are from GGA-PBE.

a = 7.762 Å, b = 7.762 Å, c = 7.762 Å
α = 105.25°, β = 105.25°, γ = 118.28°
Positions (direct):
Se1 0.127 0.308 0.819
Se2 0.489 0.308 0.181
Se3 0.058 0.739 0.681
Se4 0.261 0.942 0.319
Se5 0.058 0.377 0.319
Se6 0.692 0.511 0.819
Se7 0.692 0.873 0.181
Se8 0.623 0.942 0.681
Th1 0.750 0.250 0.500
Th2 0.000 0.000 0.000
Si1 0.250 0.750 0.500
Si2 0.500 0.500 0.000

Computed properties:
Uncorrected formation energy in eV per atom: -1.01
M_tot in μB per formula unit: 0.00
Electronic total energy in eV/atom: -5.48

---

Here is crystalline Th2SiSe at its relaxed geometry from Alexandria via LeMat-Bulk. Energies are from GGA-PBE.

a = 4.260 Å, b = 4.260 Å, c = 7.343 Å
α = 73.14°, β = 73.14°, γ = 60.00°
Positions (direct):
Si1 0.000 0.000 0.000
Se1 0.500 0.500 0.500
Th1 0.744 0.744 0.768
Th2 0.256 0.256 0.232

Computed properties:
Uncorrected formation energy in eV per atom: -1.18
Polymorph energy (0 for the lowest one) in eV per formula unit: 0.000
M_tot in μB per formula unit: 0.00
Electronic total energy in eV/atom: -7.12

---

Here is crystalline Th3SiSe2 at its relaxed geometry from Alexandria via LeMat-Bulk. Energies are from GGA-PBE.

a = 7.365 Å, b = 7.340 Å, c = 7.308 Å
α = 80.39°, β = 70.56°, γ = 59.89°
Positions (direct):
Th1 0.577 0.342 0.240
Th2 0.080 0.342 0.760
Th3 0.423 0.658 0.760
Th4 0.736 0.000 0.763
Th5 0.264 0.000 0.237
Th6 0.920 0.658 0.240
Se1 0.000 0.000 0.000
Se2 0.164 0.673 0.500
Se3 0.836 0.327 0.500
Se4 0.500 0.000 0.500
Si1 0.667 0.665 0.000
Si2 0.333 0.335 0.000

Computed properties:
Uncorrected formation energy in eV per atom: -1.32
Polymorph energy (0 for the lowest one) in eV per formula unit: 0.000
M_tot in μB per formula unit: 0.00
Electronic total energy in eV/atom: -7.10